NaSrEuSb, relaxed, DFT PBE-GGA; total energy = -19.37 eV per formula unit; ρ = 4.8 g cm⁻³; formation energy from raw total energies = -0.493 eV per atom; magnetic moment = 7.25 μB/f.u.; symmetry = F-43m (216)
1.0
-4.319 -1.399 3.469
-1.026 -5.488 1.215
1.079 -2.017 5.236
Sb Eu Na Sr
1 1 1 1
Cartesian
-2.133 -4.451 4.960
-3.199 -6.677 7.440
0.000 0.000 0.000
-1.066 -2.226 2.480